Compound: ErTc6Ge8
Source: the Alexandria database
Functional: PBE-GGA
Structure: optimized geometry

- total moment (μB per cell) = 0.00
- final energy (eV/atom) = -6.926
- density of states at the Fermi level (states/eV/f.u.) = 10.33
- crystal system = trigonal
- space-group type = R-3
- energy of formation from the pure elements (meV/atom) = -13

Cell: 6.5179 6.5179 6.5179 Å, 84.20 84.20 84.20°
Positions (direct):
Er 0.0000 0.0000 0.0000
Tc 0.5848 0.4219 0.7735
Tc 0.4219 0.7735 0.5848
Tc 0.7735 0.5848 0.4219
Tc 0.4152 0.5781 0.2265
Tc 0.5781 0.2265 0.4152
Tc 0.2265 0.4152 0.5781
Ge 0.7650 0.7650 0.7650
Ge 0.2350 0.2350 0.2350
Ge 0.5783 0.9124 0.2204
Ge 0.9124 0.2204 0.5783
Ge 0.2204 0.5783 0.9124
Ge 0.4217 0.0876 0.7796
Ge 0.0876 0.7796 0.4217
Ge 0.7796 0.4217 0.0876

---

Compound: Er6Tc2Ge
Source: the Alexandria database
Functional: PBE-GGA
Structure: optimized geometry

- total moment (μB per cell) = 0.00
- final energy (eV/atom) = -6.123
- density of states at the Fermi level (states/eV/f.u.) = 8.09
- crystal system = orthorhombic
- space-group type = Immm
- energy of formation from the pure elements (meV/atom) = -265

Cell: 8.3519 8.3519 8.3519 Å, 104.63 111.98 111.92°
Positions (direct):
Er 0.5482 0.7286 0.8196
Er 0.4518 0.2714 0.1804
Er 0.0910 0.2714 0.8196
Er 0.9090 0.7286 0.1804
Er 0.7996 0.7505 0.5501
Er 0.2004 0.2495 0.4499
Er 0.2004 0.7505 0.9508
Er 0.7996 0.2495 0.0492
Er 0.6884 0.3530 0.6645
Er 0.3116 0.6470 0.3355
Er 0.3116 0.9761 0.6645
Er 0.6884 0.0239 0.3355
Tc 0.5000 0.3829 0.8829
Tc 0.5000 0.6171 0.1171
Tc 0.6757 0.0000 0.6757
Tc 0.3243 0.0000 0.3243
Ge 0.0000 0.5000 0.5000
Ge 0.0000 0.0000 0.0000

---

Compound: ErTcGe4
Source: the Alexandria database
Functional: PBE-GGA
Structure: optimized geometry

- total moment (μB per cell) = 0.00
- final energy (eV/atom) = -5.747
- density of states at the Fermi level (states/eV/f.u.) = 3.65
- crystal system = triclinic
- space-group type = P-1
- energy of formation from the pure elements (meV/atom) = -180

Cell: 6.3581 6.8661 6.3576 Å, 88.16 120.06 90.01°
Positions (direct):
Er 0.9109 0.7504 0.0018
Er 0.0891 0.2496 0.9982
Tc 0.5000 0.0000 0.5000
Tc 0.0000 0.5000 0.5000
Ge 0.6071 0.0897 0.9125
Ge 0.6951 0.4104 0.0868
Ge 0.3929 0.9103 0.0875
Ge 0.3049 0.5896 0.9132
Ge 0.8572 0.8485 0.4850
Ge 0.3735 0.6514 0.5171
Ge 0.1428 0.1515 0.5150
Ge 0.6265 0.3486 0.4829

---

Compound: ErTc6Ge4
Source: the Alexandria database
Functional: PBE-GGA
Structure: optimized geometry

- total moment (μB per cell) = 0.00
- final energy (eV/atom) = -7.510
- density of states at the Fermi level (states/eV/f.u.) = 11.72
- crystal system = tetragonal
- space-group type = I-42m
- energy of formation from the pure elements (meV/atom) = 238

Cell: 6.5363 6.5363 6.5363 Å, 86.84 121.84 121.84°
Positions (direct):
Er 0.0000 0.0000 0.0000
Tc 0.0000 0.8633 0.5021
Tc 0.0000 0.5021 0.8633
Tc 0.6388 0.1367 0.1367
Tc 0.5000 0.0000 0.5000
Tc 0.3612 0.4979 0.4979
Tc 0.5000 0.5000 0.0000
Ge 0.0000 0.2146 0.5931
Ge 0.6216 0.4069 0.4069
Ge 0.0000 0.5931 0.2146
Ge 0.3784 0.7854 0.7854

---

Compound: Er4TcGe8
Source: the Alexandria database
Functional: PBE-GGA
Structure: optimized geometry

- total moment (μB per cell) = 0.00
- final energy (eV/atom) = -5.572
- density of states at the Fermi level (states/eV/f.u.) = 6.18
- crystal system = orthorhombic
- space-group type = Pmm2
- energy of formation from the pure elements (meV/atom) = -529

Cell: 4.0050 4.1783 15.9258 Å, 90.00 90.00 90.00°
Positions (direct):
Er 0.0000 0.0000 0.0925
Er 0.0000 0.5000 0.6114
Er 0.5000 0.5000 0.4054
Er 0.5000 0.0000 0.8955
Tc 0.0000 0.0000 0.3107
Ge 0.0000 0.0000 0.4663
Ge 0.0000 0.5000 0.9386
Ge 0.5000 0.5000 0.0496
Ge 0.5000 0.0000 0.5722
Ge 0.0000 0.5000 0.2288
Ge 0.0000 0.0000 0.7507
Ge 0.5000 0.0000 0.2252
Ge 0.5000 0.5000 0.7562

---

Compound: Er2TcGe3
Source: the Alexandria database
Functional: PBE-GGA
Structure: optimized geometry

- total moment (μB per cell) = 0.02
- final energy (eV/atom) = -5.904
- density of states at the Fermi level (states/eV/f.u.) = 4.62
- crystal system = orthorhombic
- space-group type = Immm
- energy of formation from the pure elements (meV/atom) = -346

Cell: 4.4205 5.5098 6.1922 Å, 116.42 110.91 90.00°
Positions (direct):
Er 0.6830 0.1830 0.3660
Er 0.3170 0.8170 0.6340
Tc 0.0000 0.5000 0.0000
Ge 0.3694 0.3694 0.7389
Ge 0.0000 0.0000 0.0000
Ge 0.6306 0.6306 0.2611

---

- The highest density of states at the Fermi level belongs to which entry?
  ErTc6Ge4